Record 1
# BaNa2TlO

A relaxed BaNa2TlO crystal (GGA-PBEsol, Alexandria via LeMat-Bulk).

Computed properties:
ΔE_f (raw) ... -0.18 eV per atom
Total DFT energy (no corrections) ... -13.7 eV per cell
Magnetic moment ... 0.10 μB/cell

The structure in extended XYZ format:
```
5
Lattice="6.880 0.000 0.000 0.000 6.880 0.000 0.000 0.000 4.553" Properties=species:S:1:pos:R:3 pbc="T T T"
Ba 0.000 0.000 0.000
Na 0.000 3.440 0.000
Na 3.440 0.000 0.000
Tl 3.440 3.440 2.277
O 0.000 0.000 2.277
```

Record 2
# CoSe2BrN

A relaxed CoSe2BrN crystal (GGA-PBEsol, Alexandria via LeMat-Bulk).

Computed properties:
ΔE_f (raw) ... 1.25 eV per atom
Total DFT energy (no corrections) ... -19.6 eV per cell
Magnetic moment ... 2.29 μB/cell

The structure in extended XYZ format:
```
5
Lattice="4.500 0.000 0.000 0.000 4.500 0.000 0.000 0.000 5.061" Properties=species:S:1:pos:R:3 pbc="T T T"
Co 0.000 0.000 0.000
Se 0.000 2.250 0.000
Se 2.250 0.000 0.000
Br 0.000 0.000 2.531
N 2.250 2.250 2.531
```

Record 3
# Na2VCSO7

A relaxed Na2VCSO7 crystal (GGA-PBEsol, Alexandria via LeMat-Bulk).

Computed properties:
ΔE_f (raw) ... -1.65 eV per atom
Total DFT energy (no corrections) ... -166.1 eV per cell
Magnetic moment ... 6.00 μB/cell

The structure in extended XYZ format:
```
24
Lattice="5.234 0.000 0.000 0.000 6.602 0.000 -0.208 0.000 8.980" Properties=species:S:1:pos:R:3 pbc="T T T"
Na 1.174 0.008 2.539
Na 1.174 3.294 2.539
Na 3.852 3.309 6.441
Na 3.852 6.595 6.441
V 0.960 4.952 7.692
V 4.066 1.651 1.288
C 1.331 4.952 5.235
C 3.695 1.651 3.746
S 1.272 1.651 8.246
S 3.754 4.952 0.735
O 0.143 4.952 5.789
O 0.870 1.651 0.629
O 0.826 0.456 7.489
O 0.826 2.845 7.489
O 1.527 4.952 3.993
O 2.260 4.952 0.599
O 2.306 4.952 6.120
O 2.720 1.651 2.860
O 2.766 1.651 8.381
O 3.499 1.651 4.987
O 4.200 3.757 1.492
O 4.200 6.146 1.492
O 4.156 4.952 8.352
O 4.883 1.651 3.191
```

Record 4
# MgMnZn

A relaxed MgMnZn crystal (GGA-PBEsol, Alexandria via LeMat-Bulk).

Computed properties:
DFT formation energy ... 601 meV per atom
Total DFT energy (no corrections) ... -11.3 eV per cell
Magnetic moment ... 3.25 μB/cell

The structure in extended XYZ format:
```
3
Lattice="0.000 3.030 3.030 3.030 0.000 3.030 3.030 3.030 0.000" Properties=species:S:1:pos:R:3 pbc="T T T"
Mg 0.000 0.000 0.000
Mn 4.545 4.545 4.545
Zn 3.030 3.030 3.030
```

Record 5
# Be4FeMo

A relaxed Be4FeMo crystal (GGA-PBEsol, Alexandria via LeMat-Bulk).

Computed properties:
DFT formation energy ... -200 meV per atom
Total DFT energy (no corrections) ... -37.9 eV per cell
Magnetic moment ... 0.01 μB/cell

The structure in extended XYZ format:
```
6
Lattice="0.000 3.009 3.009 3.009 0.000 3.009 3.009 3.009 0.000" Properties=species:S:1:pos:R:3 pbc="T T T"
Be 0.747 0.747 0.747
Be 2.262 2.262 0.747
Be 2.262 0.747 2.262
Be 0.747 2.262 2.262
Fe 3.009 3.009 3.009
Mo 4.514 4.514 4.514
```

Record 6
# ScMoP2

A relaxed ScMoP2 crystal (GGA-PBEsol, Alexandria via LeMat-Bulk).

Computed properties:
DFT formation energy ... -592 meV per atom
Total DFT energy (no corrections) ... -32.3 eV per cell
Excess energy over the best structure of this formula in the dataset ... 149 meV/atom
Magnetic moment ... 0.00 μB/cell

The structure in extended XYZ format:
```
4
Lattice="4.350 0.000 0.000 0.000 4.350 0.000 0.000 0.000 3.085" Properties=species:S:1:pos:R:3 pbc="T T T"
Sc 0.000 0.000 0.000
Mo 2.175 2.175 0.000
P 0.000 2.175 1.542
P 2.175 0.000 1.542
```

Record 7
# YPHN2

A relaxed YPHN2 crystal (GGA-PBEsol, Alexandria via LeMat-Bulk).

Computed properties:
Total DFT energy (no corrections) ... -27.7 eV per cell
Magnetic moment ... 0.33 μB/cell

The structure in extended XYZ format:
```
5
Lattice="4.341 0.000 0.000 0.000 4.341 0.000 0.000 0.000 3.745" Properties=species:S:1:pos:R:3 pbc="T T T"
Y 0.000 0.000 0.000
P 2.170 2.170 1.873
H 0.000 0.000 1.873
N 0.000 2.170 0.000
N 2.170 0.000 0.000
```

Record 8
# SrMnAl2

A relaxed SrMnAl2 crystal (GGA-PBEsol, Alexandria via LeMat-Bulk).

Computed properties:
DFT formation energy ... 254 meV per atom
Total DFT energy (no corrections) ... -18.8 eV per cell
Magnetic moment ... 3.43 μB/cell

The structure in extended XYZ format:
```
4
Lattice="0.000 3.421 3.421 3.421 0.000 3.421 3.421 3.421 0.000" Properties=species:S:1:pos:R:3 pbc="T T T"
Sr 0.000 0.000 0.000
Mn 3.421 3.421 3.421
Al 1.710 1.710 1.710
Al 5.131 5.131 5.131
```

Record 9
# Cu2MoPt

A relaxed Cu2MoPt crystal (GGA-PBEsol, Alexandria via LeMat-Bulk).

Computed properties:
DFT formation energy ... -60 meV per atom
Total DFT energy (no corrections) ... -27.6 eV per cell
Excess energy over the best structure of this formula in the dataset ... 0 meV/atom
Magnetic moment ... 0.00 μB/cell

The structure in extended XYZ format:
```
4
Lattice="2.697 0.000 0.000 0.000 2.697 0.000 0.000 0.000 7.263" Properties=species:S:1:pos:R:3 pbc="T T T"
Cu 0.000 0.000 0.000
Cu 1.349 1.349 1.586
Mo 0.000 0.000 3.458
Pt 1.349 1.349 5.410
```

Record 10
# BaHg4W

A relaxed BaHg4W crystal (GGA-PBEsol, Alexandria via LeMat-Bulk).

Computed properties:
DFT formation energy ... 561 meV per atom
Total DFT energy (no corrections) ... -14.9 eV per cell
Magnetic moment ... 3.41 μB/cell

The structure in extended XYZ format:
```
6
Lattice="0.000 4.154 4.154 4.154 0.000 4.154 4.154 4.154 0.000" Properties=species:S:1:pos:R:3 pbc="T T T"
Ba 0.000 0.000 0.000
Hg 5.185 3.124 3.124
Hg 3.124 5.185 3.124
Hg 3.124 3.124 5.185
Hg 5.185 5.185 5.185
W 2.077 2.077 2.077
```

Record 11
# Mg2CdCl

A relaxed Mg2CdCl crystal (GGA-PBEsol, Alexandria via LeMat-Bulk).

Computed properties:
ΔE_f (raw) ... -0.36 eV per atom
Total DFT energy (no corrections) ... -16.1 eV per cell
Excess energy over the best structure of this formula in the dataset ... 84 meV/atom
Magnetic moment ... 0.00 μB/cell

The structure in extended XYZ format:
```
8
Lattice="-3.769 3.769 3.262 3.769 -3.769 3.262 3.769 3.769 -3.262" Properties=species:S:1:pos:R:3 pbc="T T T"
Mg 5.653 1.676 -0.816
Mg 1.676 1.884 0.816
Mg -1.884 2.093 2.447
Mg 2.093 1.884 4.078
Cd 3.769 0.000 1.631
Cd 0.000 0.000 3.262
Cl 0.000 0.000 0.000
Cl 0.000 3.769 1.631
```

Record 12
# KCuCO3F

A relaxed KCuCO3F crystal (GGA-PBEsol, Alexandria via LeMat-Bulk).

Computed properties:
ΔE_f (raw) ... -1.54 eV per atom
Total DFT energy (no corrections) ... -87.1 eV per cell
Magnetic moment ... 0.00 μB/cell

The structure in extended XYZ format:
```
14
Lattice="3.971 0.000 0.000 0.000 5.048 0.000 0.000 0.000 8.922" Properties=species:S:1:pos:R:3 pbc="T T T"
K 0.000 1.054 0.000
K 0.000 3.994 4.461
Cu 1.986 1.469 5.832
Cu 1.986 3.579 1.371
C 1.986 1.436 2.988
C 1.986 3.612 7.449
O 1.986 0.741 4.085
O 1.986 0.846 1.863
O 1.986 2.309 7.539
O 1.986 2.738 3.078
O 1.986 4.202 6.324
O 1.986 4.306 8.546
F 0.000 1.554 5.795
F 0.000 3.494 1.334
```